Version a
VASP calculation (PBE-GGA) on a relaxed structure of Nb3GeSb.

The structure belongs to space group Pm-3m (No. 221); the cell edges are 4.786, 4.786 and 4.786 Å and the angles 90.00°, 90.00° and 90.00°. The inequivalent atoms are Nb at (0.000, 0.000, 0.500), Ge at (0.000, 0.000, 0.000) and Sb at (0.500, 0.500, 0.500).

For the total magnetization, the calculation gives 0.000 μB per cell.

Version b
VASP calculation (PBE-GGA) on a relaxed structure of Nb3GeSb.

The structure belongs to space group Pm-3m (No. 221); the cell edges are 5.038, 5.038 and 5.038 Å and the angles 90.00°, 90.00° and 90.00°. The inequivalent atoms are Nb at (0.000, 0.000, 0.500), Ge at (0.500, 0.500, 0.500) and Sb at (0.000, 0.000, 0.000).

For the total magnetization, the calculation gives 0.000 μB per cell.

Version c
VASP calculation (PBE-GGA) on a relaxed structure of Nb3GeSb.

The structure belongs to space group Pm (No. 6); the cell edges are 7.924, 3.557 and 8.045 Å and the angles 90.00°, 118.76° and 90.00°. The inequivalent atoms are Nb at (0.000, 0.000, 0.000), Nb at (0.010, 0.500, 0.277), Nb at (0.302, 0.000, 0.898), Nb at (0.346, 0.000, 0.482), Nb at (0.651, 0.500, 0.797), Nb at (0.693, 0.000, 0.503), Ge at (0.253, 0.500, 0.651), Ge at (0.967, 0.500, 0.727), Sb at (0.355, 0.500, 0.205) and Sb at (0.699, 0.000, 0.116).

For the total magnetization, the calculation gives 0.000 μB per cell.

What should be chosen as the most stable of them? Choose version c.

Version a
VASP calculation (PBE-GGA) on a relaxed structure of Nb2GeSb.

The structure belongs to space group Fm-3m (No. 225); the cell edges are 6.664, 6.664 and 6.664 Å and the angles 90.00°, 90.00° and 90.00°. The inequivalent atoms are Nb at (0.250, 0.250, 0.250), Ge at (0.000, 0.000, 0.000) and Sb at (0.000, 0.000, 0.500).

For the total magnetization, the calculation gives 0.000 μB per cell.

Version b
VASP calculation (PBE-GGA) on a relaxed structure of Nb2GeSb.

The structure belongs to space group I-42d (No. 122); the cell edges are 4.084, 4.084 and 19.602 Å and the angles 90.00°, 90.00° and 90.00°. The inequivalent atoms are Nb at (0.238, 0.250, 0.125), Ge at (0.000, 0.000, 0.000) and Sb at (0.000, 0.000, 0.500).

For the total magnetization, the calculation gives 0.000 μB per cell.

What should be chosen as the most stable of them? Choose version a.

Version a
VASP calculation (PBE-GGA) on a relaxed structure of ScNb2Ge2.

The structure belongs to space group P4/mbm (No. 127); the cell edges are 7.997, 7.997 and 2.889 Å and the angles 90.00°, 90.00° and 90.00°. The inequivalent atoms are Sc at (0.000, 0.000, 0.000), Nb at (0.120, 0.380, 0.000) and Ge at (0.176, 0.676, 0.500).

For the total magnetization, the calculation gives 0.000 μB per cell.

Version b
VASP calculation (PBE-GGA) on a relaxed structure of ScNb2Ge2.

The structure belongs to space group I4/mmm (No. 139); the cell edges are 4.953, 4.953 and 8.204 Å and the angles 90.00°, 90.00° and 90.00°. The inequivalent atoms are Sc at (0.000, 0.000, 0.000), Nb at (0.000, 0.000, 0.346) and Ge at (0.000, 0.500, 0.250).

For the total magnetization, the calculation gives 0.000 μB per cell.

Version c
VASP calculation (PBE-GGA) on a relaxed structure of ScNb2Ge2.

The structure belongs to space group I4/mmm (No. 139); the cell edges are 3.975, 3.975 and 11.974 Å and the angles 90.00°, 90.00° and 90.00°. The inequivalent atoms are Sc at (0.000, 0.000, 0.000), Nb at (0.000, 0.500, 0.250) and Ge at (0.000, 0.000, 0.400).

For the total magnetization, the calculation gives 0.000 μB per cell.

Version d
VASP calculation (PBE-GGA) on a relaxed structure of ScNb2Ge2.

The structure belongs to space group P4/mbm (No. 127); the cell edges are 7.057, 7.057 and 3.532 Å and the angles 90.00°, 90.00° and 90.00°. The inequivalent atoms are Sc at (0.000, 0.000, 0.000), Nb at (0.165, 0.335, 0.500) and Ge at (0.132, 0.632, 0.000).

For the total magnetization, the calculation gives 0.000 μB per cell.

What should be chosen as the most stable of them? Choose version d.

Version a
VASP calculation (PBE-GGA) on a relaxed structure of ScNb3Ge.

The structure belongs to space group Pm-3m (No. 221); the cell edges are 4.819, 4.819 and 4.819 Å and the angles 90.00°, 90.00° and 90.00°. The inequivalent atoms are Sc at (0.000, 0.000, 0.000), Nb at (0.000, 0.500, 0.500) and Ge at (0.500, 0.500, 0.500).

For the total magnetization, the calculation gives 0.000 μB per cell.

Version b
VASP calculation (PBE-GGA) on a relaxed structure of ScNb3Ge.

The structure belongs to space group Pm-3m (No. 221); the cell edges are 4.732, 4.732 and 4.732 Å and the angles 90.00°, 90.00° and 90.00°. The inequivalent atoms are Sc at (0.000, 0.000, 0.000), Nb at (0.000, 0.000, 0.500) and Ge at (0.500, 0.500, 0.500).

For the total magnetization, the calculation gives 0.000 μB per cell.

What should be chosen as the most stable of them? Choose version a.

Version a
VASP calculation (PBE-GGA) on a relaxed structure of Nb2Ge2Se.

The structure belongs to space group I4/mmm (No. 139); the cell edges are 4.896, 4.896 and 8.300 Å and the angles 90.00°, 90.00° and 90.00°. The inequivalent atoms are Nb at (0.000, 0.500, 0.250), Ge at (0.000, 0.000, 0.146) and Se at (0.000, 0.000, 0.500).

For the total magnetization, the calculation gives 0.000 μB per cell.

Version b
VASP calculation (PBE-GGA) on a relaxed structure of Nb2Ge2Se.

The structure belongs to space group P4/mbm (No. 127); the cell edges are 7.110, 7.110 and 3.571 Å and the angles 90.00°, 90.00° and 90.00°. The inequivalent atoms are Nb at (0.162, 0.338, 0.000), Ge at (0.131, 0.631, 0.500) and Se at (0.000, 0.000, 0.000).

For the total magnetization, the calculation gives 0.000 μB per cell.

What should be chosen as the most stable of them? Choose version b.

Version a
VASP calculation (PBE-GGA) on a relaxed structure of NbGeSe3.

The structure belongs to space group Pm-3m (No. 221); the cell edges are 5.053, 5.053 and 5.053 Å and the angles 90.00°, 90.00° and 90.00°. The inequivalent atoms are Nb at (0.000, 0.000, 0.000), Ge at (0.500, 0.500, 0.500) and Se at (0.000, 0.000, 0.500).

For the total magnetization, the calculation gives 0.004 μB per cell.

Version b
VASP calculation (PBE-GGA) on a relaxed structure of NbGeSe3.

The structure belongs to space group Cmc2_1 (No. 36); the cell edges are 3.841, 22.117 and 6.939 Å and the angles 90.00°, 90.00° and 90.00°. The inequivalent atoms are Nb at (0.000, 0.123, 0.000), Ge at (0.000, 0.341, 0.071), Se at (0.000, 0.108, 0.353), Se at (0.000, 0.218, 0.835) and Se at (0.000, 0.432, 0.327).

For the total magnetization, the calculation gives 3.713 μB per cell.

Version c
VASP calculation (PBE-GGA) on a relaxed structure of NbGeSe3.

The structure belongs to space group Pm-3m (No. 221); the cell edges are 4.900, 4.900 and 4.900 Å and the angles 90.00°, 90.00° and 90.00°. The inequivalent atoms are Nb at (0.000, 0.000, 0.000), Ge at (0.500, 0.500, 0.500) and Se at (0.000, 0.500, 0.500).

For the total magnetization, the calculation gives 1.958 μB per cell.

What should be chosen as the most stable of them? Choose version b.

Version a
VASP calculation (PBE-GGA) on a relaxed structure of Nb2GeSe.

The structure belongs to space group I-42d (No. 122); the cell edges are 5.722, 5.722 and 12.100 Å and the angles 90.00°, 90.00° and 90.00°. The inequivalent atoms are Nb at (0.250, 0.250, 0.125), Ge at (0.000, 0.000, 0.000) and Se at (0.000, 0.000, 0.500).

For the total magnetization, the calculation gives 0.000 μB per cell.

Version b
VASP calculation (PBE-GGA) on a relaxed structure of Nb2GeSe.

The structure belongs to space group Fm-3m (No. 225); the cell edges are 6.477, 6.477 and 6.477 Å and the angles 90.00°, 90.00° and 90.00°. The inequivalent atoms are Nb at (0.250, 0.250, 0.250), Ge at (0.000, 0.000, 0.000) and Se at (0.000, 0.000, 0.500).

For the total magnetization, the calculation gives 0.000 μB per cell.

What should be chosen as the most stable of them? Choose version b.

Version a
VASP calculation (PBE-GGA) on a relaxed structure of Nb3SiGe.

The structure belongs to space group P6_3/mmc (No. 194); the cell edges are 6.4942, 6.4942 and 4.9780 Å and the angles 90.00°, 90.00° and 120.00°. The inequivalent atoms are Nb at (0.1940, 0.3879, 0.2500), Si at (0.0000, 0.0000, 0.0000) and Ge at (0.3333, 0.6667, 0.7500).

For the total magnetization, the calculation gives 0.000 μB per cell.

Version b
VASP calculation (PBE-GGA) on a relaxed structure of Nb3SiGe.

The structure belongs to space group Pm-3m (No. 221); the cell edges are 4.659, 4.659 and 4.659 Å and the angles 90.00°, 90.00° and 90.00°. The inequivalent atoms are Nb at (0.000, 0.000, 0.500), Si at (0.000, 0.000, 0.000) and Ge at (0.500, 0.500, 0.500).

For the total magnetization, the calculation gives 0.000 μB per cell.

What should be chosen as the most stable of them? Choose version a.